Computed, not measured: a geometry-optimized SrCuH6O5 structure at the GGA-PBEsol level of DFT.

CIF file:
```
data_SrCuH6O5
_space_group_name_H-M_alt 'P 1 2/c 1'
_space_group_IT_number 13
_cell_length_a 5.266
_cell_length_b 6.147
_cell_length_c 7.885
_cell_angle_alpha 90.00
_cell_angle_beta 107.86
_cell_angle_gamma 90.00
loop_
_space_group_symop_operation_xyz
'x,y,z'
'-x,-y,-z'
'-x,y,-z+1/2'
'x,-y,z+1/2'
loop_
_atom_site_label
_atom_site_fract_x
_atom_site_fract_y
_atom_site_fract_z
Sr1 0.000 0.045 0.250
Cu1 0.000 0.500 0.000
H1 0.353 0.233 0.033
H2 0.378 0.457 0.396
H3 0.432 0.217 0.642
O1 0.158 0.220 0.006
O2 0.291 0.344 0.446
O3 0.500 0.120 0.750
```

Output
The total energy comes out at -137.7 eV/cell. Its volume is 242.94 Å³ per cell.